Entry 1:
DFT (PBE-GGA) results for crystalline Hg2MoPt at its relaxed geometry.

a b c (Å): 6.6667 6.6667 6.6667
angles (deg): 90.00 90.00 90.00
Last column: nearest neighbours and their distance in Å.
Atoms (fractional coordinates):
Hg 0.0000 0.0000 0.0000  4 Hg 2.89, 4 Pt 2.89
Hg 0.0000 0.5000 0.5000  4 Hg 2.89, 4 Pt 2.89
Hg 0.2500 0.2500 0.2500  4 Hg 2.89, 4 Mo 2.89
Hg 0.2500 0.7500 0.7500  4 Hg 2.89, 4 Mo 2.89
Hg 0.5000 0.0000 0.5000  4 Hg 2.89, 4 Pt 2.89
Hg 0.5000 0.5000 0.0000  4 Hg 2.89, 4 Pt 2.89
Hg 0.7500 0.2500 0.7500  4 Hg 2.89, 4 Mo 2.89
Hg 0.7500 0.7500 0.2500  4 Hg 2.89, 4 Mo 2.89
Mo 0.0000 0.0000 0.5000  4 Hg 2.89, 4 Pt 2.89
Mo 0.0000 0.5000 0.0000  4 Hg 2.89, 4 Pt 2.89
Mo 0.5000 0.0000 0.0000  4 Hg 2.89, 4 Pt 2.89
Mo 0.5000 0.5000 0.5000  4 Hg 2.89, 4 Pt 2.89
Pt 0.2500 0.2500 0.7500  4 Hg 2.89, 4 Mo 2.89
Pt 0.2500 0.7500 0.2500  4 Hg 2.89, 4 Mo 2.89
Pt 0.7500 0.2500 0.2500  4 Hg 2.89, 4 Mo 2.89
Pt 0.7500 0.7500 0.7500  4 Hg 2.89, 4 Mo 2.89

Summary:
ΔE_f   0.495 eV/atom
Theoretical density   15517 kg/m3
Excess energy over the best structure of this formula in the dataset   366 meV/atom
DFT total energy   -61.98 eV per cell
SG   F-43m


Entry 2:
DFT (PBE-GGA) results for crystalline In2TcNi at its relaxed geometry.

a b c (Å): 4.4303 4.4303 3.3942
angles (deg): 90.00 90.00 90.00
Last column: nearest neighbours and their distance in Å.
Atoms (fractional coordinates):
In 0.0000 0.5000 0.0000  4 Tc 2.79, 4 Ni 2.79
In 0.5000 0.0000 0.0000  4 Tc 2.79, 4 Ni 2.79
Tc 0.0000 0.0000 0.5000  8 In 2.79
Ni 0.5000 0.5000 0.5000  8 In 2.79

Summary:
ΔE_f   0.105 eV/atom
Theoretical density   9630 kg/m3
DFT total energy   -21.20 eV per cell
SG   P4/mmm


> Number 1 is which compound?

Hg2MoPt


> Among the records above, which one has the highest theoretical density?

Hg2MoPt


> Which of these has the lowest ΔE_f?

In2TcNi


> DFT total energy of number 1 (Hg2MoPt)?

-61.98 eV per cell